Here is an optimized crystal structure of CrCu from Alexandria via LeMat-Bulk. Energies are from PBE.

Cell and atoms, written as CIF:
```
data_CrCu
_symmetry_space_group_name_H-M 'P 1'
_symmetry_Int_Tables_number 1
_cell_length_a 4.276
_cell_length_b 4.276
_cell_length_c 5.015
_cell_angle_alpha 90.00
_cell_angle_beta 90.00
_cell_angle_gamma 120.00
loop_
_symmetry_equiv_pos_as_xyz
'x,y,z'
loop_
_atom_site_label
_atom_site_fract_x
_atom_site_fract_y
_atom_site_fract_z
Cr1 0.333 0.667 0.250
Cr2 0.667 0.333 0.750
Cu1 0.333 0.667 0.750
Cu2 0.667 0.333 0.250
```

Computed properties:
- Symmetry: P6_3/mmc (194)
- Crystal system: hexagonal
- Calculated total energy: -5.570 eV per atom
- Formation enthalpy at 0 K: 2.580 eV/f.u.